A plane-wave DFT calculation with PBE was carried out for a relaxed MgBeTl3 crystal.

DFT total energy, eV per atom: -2.157
Energy relative to the elements, eV per atom: 0.327
Space-group type: Pm-3m, No. 221
Volume, Å³ per cell: 131.80
ΔE to the lowest computed polymorph, eV/atom: 0.000

Cell lengths 5.089, 5.089, 5.089 Å; angles 90.00, 90.00, 90.00 degrees
Positions (direct):
Mg  0.000  0.000  0.000
Be  0.500  0.500  0.500
Tl  0.000  0.500  0.500
Tl  0.500  0.000  0.500
Tl  0.500  0.500  0.000

***

A plane-wave DFT calculation with PBE was carried out for a relaxed ScInMo2 crystal.

DFT total energy, eV per atom: -7.396
Energy relative to the elements, eV per atom: 0.287
Space-group type: Pmmm, No. 47
Volume, Å³ per cell: 74.00

Cell lengths 2.820, 4.614, 5.687 Å; angles 90.00, 90.00, 90.00 degrees
Positions (direct):
Sc  0.000  0.000  0.000
In  0.000  0.000  0.500
Mo  0.500  0.500  0.233
Mo  0.500  0.500  0.767

***

A plane-wave DFT calculation with PBE was carried out for a relaxed BaFe2Se crystal.

DFT total energy, eV per atom: -5.082
E_form (uncorrected), eV per atom: 0.50
Space-group type: C2/m, No. 12
Volume, Å³ per cell: 94.30

Cell lengths 5.894, 5.894, 4.254 Å; angles 110.92, 110.92, 117.89 degrees
Positions (direct):
Ba  0.000  0.000  0.000
Fe  0.000  0.500  0.500
Fe  0.500  0.000  0.500
Se  0.500  0.500  0.000

***

Which value of volume does entry 2 give? 74.00 Å³ per cell